This record from Alexandria describes BaAgOs2 after structural relaxation. The functional is PBE.

The structure in CIF format:
```
data_BaAgOs2
_symmetry_space_group_name_H-M 'R -3 m'
_symmetry_Int_Tables_number 166
_symmetry_space_group_name_Hall '-R 3 2"'
_cell_length_a 4.5545
_cell_length_b 4.5545
_cell_length_c 17.6336
_cell_angle_alpha 90.00
_cell_angle_beta 90.00
_cell_angle_gamma 120.00
loop_
_atom_site_label
_atom_site_fract_x
_atom_site_fract_y
_atom_site_fract_z
_atom_site_occupancy
Ba1 0.0000 0.0000 0.0000 1
Ag1 0.0000 0.0000 0.5000 1
Os1 0.0000 0.0000 0.1754 1
```

Computed properties:
Excess energy over the best structure of this formula in the dataset = 0.221 eV/atom
DFT formation energy = 0.575 eV/atom


This record from Alexandria describes TbSi2Ir2 after structural relaxation. The functional is PBE.

The structure in CIF format:
```
data_TbSi2Ir2
_symmetry_space_group_name_H-M 'I 4/m m m'
_symmetry_Int_Tables_number 139
_symmetry_space_group_name_Hall '-I 4 2'
_cell_length_a 4.0854
_cell_length_b 4.0854
_cell_length_c 9.9927
_cell_angle_alpha 90.00
_cell_angle_beta 90.00
_cell_angle_gamma 90.00
loop_
_atom_site_label
_atom_site_fract_x
_atom_site_fract_y
_atom_site_fract_z
_atom_site_occupancy
Tb1 0.0000 0.0000 0.0000 1
Si1 0.0000 0.0000 0.3786 1
Ir1 0.0000 0.5000 0.2500 1
```

Computed properties:
ΔE_f (raw) = -1086 meV per atom


This record from Alexandria describes ScCd2PbN after structural relaxation. The functional is PBE.

The structure in CIF format:
```
data_ScCd2PbN
_symmetry_space_group_name_H-M 'P 4/m m m'
_symmetry_Int_Tables_number 123
_symmetry_space_group_name_Hall '-P 4 2'
_cell_length_a 4.4721
_cell_length_b 4.4721
_cell_length_c 5.5693
_cell_angle_alpha 90.00
_cell_angle_beta 90.00
_cell_angle_gamma 90.00
loop_
_atom_site_label
_atom_site_fract_x
_atom_site_fract_y
_atom_site_fract_z
_atom_site_occupancy
Sc1 0.0000 0.0000 0.0000 1
Cd1 0.0000 0.5000 0.5000 1
Pb1 0.5000 0.5000 0.0000 1
N1 0.5000 0.5000 0.5000 1
```

Computed properties:
ΔE_f (raw) = 413 meV per atom


This record from Alexandria describes SrPa2SiO8 after structural relaxation. The functional is PBE.

The structure in CIF format:
```
data_SrPa2SiO8
_symmetry_space_group_name_H-M 'C m m m'
_symmetry_Int_Tables_number 65
_symmetry_space_group_name_Hall '-C 2 2'
_cell_length_a 6.7169
_cell_length_b 7.1214
_cell_length_c 7.0159
_cell_angle_alpha 90.00
_cell_angle_beta 90.00
_cell_angle_gamma 90.00
loop_
_atom_site_label
_atom_site_fract_x
_atom_site_fract_y
_atom_site_fract_z
_atom_site_occupancy
Sr1 0.0000 0.0000 0.0000 1
Pa1 0.0000 0.5000 0.2619 1
Si1 0.0000 0.0000 0.5000 1
O1 0.0000 0.2883 0.5000 1
O2 0.0000 0.3285 0.0000 1
O3 0.1846 0.0000 0.3154 1
```

Computed properties:
ΔE_f (raw) = -3111 meV per atom


This record from Alexandria describes BaPBr2 after structural relaxation. The functional is PBE.

The structure in CIF format:
```
data_BaPBr2
_symmetry_space_group_name_H-M 'P 4 m m'
_symmetry_Int_Tables_number 99
_cell_length_a 4.7701
_cell_length_b 4.7701
_cell_length_c 6.4260
_cell_angle_alpha 90.00
_cell_angle_beta 90.00
_cell_angle_gamma 90.00
loop_
_symmetry_equiv_pos_as_xyz
'x,y,z'
'-y,x,z'
'-x,-y,z'
'y,-x,z'
'-x,y,z'
'y,x,z'
'x,-y,z'
'-y,-x,z'
loop_
_atom_site_label
_atom_site_fract_x
_atom_site_fract_y
_atom_site_fract_z
_atom_site_occupancy
Ba1 0.0000 0.0000 0.0000 1
P1 0.5000 0.5000 0.9160 1
Br1 0.0000 0.0000 0.5155 1
Br2 0.5000 0.5000 0.2711 1
```

Computed properties:
Excess energy over the best structure of this formula in the dataset = 0.105 eV/atom
ΔE_f (raw) = -802 meV per atom


This record from Alexandria describes Dy6BiTe2As3 after structural relaxation. The functional is PBE.

The structure in CIF format:
```
data_Dy6BiTe2As3
_symmetry_space_group_name_H-M 'C 1 2/m 1'
_symmetry_Int_Tables_number 12
_cell_length_a 18.6651
_cell_length_b 4.2230
_cell_length_c 8.5902
_cell_angle_alpha 90.00
_cell_angle_beta 104.63
_cell_angle_gamma 90.00
loop_
_symmetry_equiv_pos_as_xyz
'x,y,z'
'-x,-y,-z'
'-x,y,-z'
'x,-y,z'
'x+1/2,y+1/2,z'
'-x+1/2,-y+1/2,-z'
'-x+1/2,y+1/2,-z'
'x+1/2,-y+1/2,z'
loop_
_atom_site_label
_atom_site_fract_x
_atom_site_fract_y
_atom_site_fract_z
_atom_site_occupancy
Dy1 0.0063 0.0000 0.2364 1
Dy2 0.1596 0.5000 0.1004 1
Dy3 0.1723 0.5000 0.5659 1
Bi1 0.0000 0.5000 0.5000 1
Te1 0.1676 0.0000 0.8351 1
As1 0.0000 0.5000 0.0000 1
As2 0.1674 0.0000 0.3326 1
```

Computed properties:
ΔE_f (raw) = -1393 meV per atom


This record from Alexandria describes TiMnB after structural relaxation. The functional is PBE.

The structure in CIF format:
```
data_TiMnB
_symmetry_space_group_name_H-M 'I m m m'
_symmetry_Int_Tables_number 71
_symmetry_space_group_name_Hall '-I 2 2'
_cell_length_a 3.0254
_cell_length_b 4.7010
_cell_length_c 9.0482
_cell_angle_alpha 90.00
_cell_angle_beta 90.00
_cell_angle_gamma 90.00
loop_
_atom_site_label
_atom_site_fract_x
_atom_site_fract_y
_atom_site_fract_z
_atom_site_occupancy
Ti1 0.0000 0.0000 0.2055 1
Mn1 0.0000 0.2632 0.5000 1
B1 0.0000 0.5000 0.0993 1
```

Computed properties:
DFT formation energy = -0.542 eV/atom


This record from Alexandria describes CuRhCS after structural relaxation. The functional is PBE.

The structure in CIF format:
```
data_CuRhCS
_symmetry_space_group_name_H-M 'P 1 m 1'
_symmetry_Int_Tables_number 6
_cell_length_a 3.4169
_cell_length_b 3.4682
_cell_length_c 4.9404
_cell_angle_alpha 90.00
_cell_angle_beta 93.36
_cell_angle_gamma 90.00
loop_
_symmetry_equiv_pos_as_xyz
'x,y,z'
'x,-y,z'
loop_
_atom_site_label
_atom_site_fract_x
_atom_site_fract_y
_atom_site_fract_z
_atom_site_occupancy
Cu1 0.0000 0.0000 0.0000 1
Rh1 0.5613 0.5000 0.6402 1
C1 0.0722 0.5000 0.8265 1
S1 0.5197 0.0000 0.3258 1
```

Computed properties:
Excess energy over the best structure of this formula in the dataset = 0.042 eV/atom
ΔE_f (raw) = 380 meV per atom


This record from Alexandria describes TbNbCo10 after structural relaxation. The functional is PBE.

The structure in CIF format:
```
data_TbNbCo10
_symmetry_space_group_name_H-M 'P m m m'
_symmetry_Int_Tables_number 47
_cell_length_a 3.9764
_cell_length_b 4.7740
_cell_length_c 8.2989
_cell_angle_alpha 90.00
_cell_angle_beta 90.00
_cell_angle_gamma 90.00
loop_
_symmetry_equiv_pos_as_xyz
'x,y,z'
'-x,-y,-z'
'-x,-y,z'
'x,y,-z'
'x,-y,-z'
'-x,y,z'
'-x,y,-z'
'x,-y,z'
loop_
_atom_site_label
_atom_site_fract_x
_atom_site_fract_y
_atom_site_fract_z
_atom_site_occupancy
Tb1 0.0000 0.0000 0.0000 1
Nb1 0.0000 0.5000 0.5000 1
Co1 0.0000 0.0000 0.3455 1
Co2 0.0000 0.5000 0.1817 1
Co3 0.5000 0.0000 0.5000 1
Co4 0.5000 0.2561 0.2597 1
Co5 0.5000 0.5000 0.0000 1
```

Computed properties:
DFT formation energy = -0.013 eV/atom


This record from Alexandria describes Cs4Rb3Br8 after structural relaxation. The functional is PBE.

The structure in CIF format:
```
data_Cs4Rb3Br8
_symmetry_space_group_name_H-M 'C 1 2/m 1'
_symmetry_Int_Tables_number 12
_cell_length_a 14.4451
_cell_length_b 14.4883
_cell_length_c 10.1608
_cell_angle_alpha 90.00
_cell_angle_beta 134.55
_cell_angle_gamma 90.00
loop_
_symmetry_equiv_pos_as_xyz
'x,y,z'
'-x,-y,-z'
'-x,y,-z'
'x,-y,z'
'x+1/2,y+1/2,z'
'-x+1/2,-y+1/2,-z'
'-x+1/2,y+1/2,-z'
'x+1/2,-y+1/2,z'
loop_
_atom_site_label
_atom_site_fract_x
_atom_site_fract_y
_atom_site_fract_z
_atom_site_occupancy
Cs1 0.0000 0.0000 0.0000 1
Cs2 0.0000 0.5000 0.5000 1
Cs3 0.2500 0.2500 0.0000 1
Rb1 0.0000 0.5000 0.0000 1
Rb2 0.2500 0.2500 0.5000 1
Br1 0.0000 0.2542 0.0000 1
Br2 0.0000 0.2570 0.5000 1
Br3 0.2367 0.5000 0.9850 1
Br4 0.2378 0.5000 0.4898 1
```

Computed properties:
ΔE_f (raw) = -1570 meV per atom


This record from Alexandria describes BaScC2 after structural relaxation. The functional is PBE.

The structure in CIF format:
```
data_BaScC2
_symmetry_space_group_name_H-M 'F m -3 m'
_symmetry_Int_Tables_number 225
_symmetry_space_group_name_Hall '-F 4 2 3'
_cell_length_a 6.4849
_cell_length_b 6.4849
_cell_length_c 6.4849
_cell_angle_alpha 90.00
_cell_angle_beta 90.00
_cell_angle_gamma 90.00
loop_
_atom_site_label
_atom_site_fract_x
_atom_site_fract_y
_atom_site_fract_z
_atom_site_occupancy
Ba1 0.0000 0.0000 0.0000 1
Sc1 0.0000 0.0000 0.5000 1
C1 0.2500 0.2500 0.2500 1
```

Computed properties:
Excess energy over the best structure of this formula in the dataset = 0.499 eV/atom
DFT formation energy = 1.385 eV/atom


This record from Alexandria describes InHgCl3 after structural relaxation. The functional is PBE.

The structure in CIF format:
```
data_InHgCl3
_symmetry_space_group_name_H-M 'C 1 2/m 1'
_symmetry_Int_Tables_number 12
_cell_length_a 14.8653
_cell_length_b 7.1579
_cell_length_c 6.3499
_cell_angle_alpha 90.00
_cell_angle_beta 91.28
_cell_angle_gamma 90.00
loop_
_symmetry_equiv_pos_as_xyz
'x,y,z'
'-x,-y,-z'
'-x,y,-z'
'x,-y,z'
'x+1/2,y+1/2,z'
'-x+1/2,-y+1/2,-z'
'-x+1/2,y+1/2,-z'
'x+1/2,-y+1/2,z'
loop_
_atom_site_label
_atom_site_fract_x
_atom_site_fract_y
_atom_site_fract_z
_atom_site_occupancy
In1 0.2111 0.0000 0.4402 1
Hg1 0.0530 0.5000 0.2410 1
Cl1 0.0798 0.0000 0.2285 1
Cl2 0.1891 0.2493 0.7222 1
```

Computed properties:
Excess energy over the best structure of this formula in the dataset = 0.000 eV/atom
ΔE_f (raw) = -799 meV per atom


no.,density (g cm⁻³)
1,9.8
2,11.9
3,7.3
4,7.0
5,3.7
6,8.4
7,5.9
8,6.0
9,8.9
10,3.1
11,5.0
12,4.1